A relaxed structure of Cs4AgSn3Cl12, computed with PBE.

ΔE_f (raw) ... -1.372 eV per atom
Size of the total moment ... 0.0000 μB per atom
Crystal system ... cubic

a = 10.995 Å, b = 10.995 Å, c = 10.995 Å
α = 90.00°, β = 90.00°, γ = 90.00°
Space group Im-3m (No. 229)
Asymmetric unit:
Cs: 0.250 0.250 0.250 (multiplicity 8)
Ag: 0.000 0.000 0.000 (multiplicity 2)
Sn: 0.000 0.000 0.500 (multiplicity 6)
Cl: 0.000 0.000 0.251 (multiplicity 12)
Cl: 0.000 0.250 0.500 (multiplicity 12)


A relaxed structure of ReAg, computed with PBE.

Formation energy from the elements ... 6.1 eV/f.u.
Size of the total moment ... 1.5039 μB per atom
Crystal system ... cubic
Offset from the most stable computed form ... 2.789 eV per atom

a = 7.373 Å, b = 7.373 Å, c = 7.373 Å
α = 90.00°, β = 90.00°, γ = 90.00°
Space group Pm-3n (No. 223)
Asymmetric unit:
Re: 0.000 0.250 0.500 (multiplicity 6)
Ag: 0.000 0.500 0.250 (multiplicity 6)


A relaxed structure of Ho2ThRu, computed with PBE.

Formation energy from the elements ... 0.5 eV/f.u.
Size of the total moment ... 0.0002 μB per atom
Crystal system ... trigonal
Offset from the most stable computed form ... 0.473 eV per atom

a = 3.4178 Å, b = 3.4178 Å, c = 32.3578 Å
α = 90.00°, β = 90.00°, γ = 120.00°
Space group R-3m (No. 166, hexagonal axes)
Asymmetric unit:
Ho: 0.0000 0.0000 0.1062 (multiplicity 6)
Th: 0.0000 0.0000 0.0000 (multiplicity 3)
Ru: 0.0000 0.0000 0.5000 (multiplicity 3)


A relaxed structure of NbBi2HO6, computed with PBE.

Size of the total moment ... 0.0000 μB per atom
Total DFT energy (no corrections) ... -130.765 eV/cell
Crystal system ... monoclinic

a = 5.708 Å, b = 4.467 Å, c = 11.549 Å
α = 90.00°, β = 117.39°, γ = 90.00°
Space group P2_1/c (No. 14)
Asymmetric unit:
Nb: 0.000 0.000 0.000 (multiplicity 2)
Bi: 0.317 0.035 0.817 (multiplicity 4)
H: 0.500 0.000 0.500 (multiplicity 2)
O: 0.062 0.748 0.375 (multiplicity 4)
O: 0.269 0.704 0.657 (multiplicity 4)
O: 0.366 0.229 0.519 (multiplicity 4)


A relaxed structure of TcPtW2N, computed with PBE.

ΔE_f (raw) ... -0.123 eV per atom
Size of the total moment ... 0.0000 μB per atom
Crystal system ... tetragonal

a = 4.099 Å, b = 4.099 Å, c = 4.078 Å
α = 90.00°, β = 90.00°, γ = 90.00°
Space group P4/mmm (No. 123)
Asymmetric unit:
Tc: 0.000 0.000 0.000 (multiplicity 1)
Pt: 0.500 0.500 0.000 (multiplicity 1)
W: 0.000 0.500 0.500 (multiplicity 2)
N: 0.000 0.000 0.500 (multiplicity 1)


A relaxed structure of CeZrS2, computed with PBE.

ΔE_f (raw) ... -1.669 eV per atom
Size of the total moment ... 0.2772 μB per atom
Crystal system ... trigonal
Offset from the most stable computed form ... 0.069 eV per atom

a = 3.7704 Å, b = 3.7704 Å, c = 20.1173 Å
α = 90.00°, β = 90.00°, γ = 120.00°
Space group R3m (No. 160, hexagonal axes)
Asymmetric unit:
Ce: 0.0000 0.0000 0.0000 (multiplicity 3)
Zr: 0.0000 0.0000 0.8210 (multiplicity 3)
S: 0.0000 0.0000 0.2348 (multiplicity 3)
S: 0.0000 0.0000 0.4182 (multiplicity 3)


A relaxed structure of Sm12In3Hg, computed with PBE.

Formation energy from the elements ... -3.9 eV/f.u.
Size of the total moment ... 0.0000 μB per atom
Crystal system ... tetragonal

a = 4.924 Å, b = 4.924 Å, c = 19.664 Å
α = 90.00°, β = 90.00°, γ = 90.00°
Space group P4/mmm (No. 123)
Asymmetric unit:
Sm: 0.000 0.000 0.000 (multiplicity 1)
Sm: 0.000 0.000 0.248 (multiplicity 2)
Sm: 0.000 0.000 0.500 (multiplicity 1)
Sm: 0.000 0.500 0.124 (multiplicity 4)
Sm: 0.000 0.500 0.374 (multiplicity 4)
In: 0.500 0.500 0.249 (multiplicity 2)
In: 0.500 0.500 0.500 (multiplicity 1)
Hg: 0.500 0.500 0.000 (multiplicity 1)


A relaxed structure of SrMgGa2Pd5, computed with PBE.

Formation energy from the elements ... -4.3 eV/f.u.
Size of the total moment ... 0.0000 μB per atom
Crystal system ... tetragonal

a = 4.808 Å, b = 4.808 Å, c = 7.432 Å
α = 90.00°, β = 90.00°, γ = 90.00°
Space group P4/mmm (No. 123)
Asymmetric unit:
Sr: 0.000 0.000 0.000 (multiplicity 1)
Mg: 0.000 0.000 0.500 (multiplicity 1)
Ga: 0.500 0.500 0.332 (multiplicity 2)
Pd: 0.000 0.500 0.291 (multiplicity 4)
Pd: 0.500 0.500 0.000 (multiplicity 1)


A relaxed structure of Li4Zn3Ag2, computed with PBE.

Formation energy from the elements ... -1.4 eV/f.u.
Size of the total moment ... 0.0000 μB per atom
Crystal system ... monoclinic
Offset from the most stable computed form ... 0.029 eV per atom

a = 12.073 Å, b = 3.915 Å, c = 6.349 Å
α = 90.00°, β = 109.35°, γ = 90.00°
Space group C2/m (No. 12)
Asymmetric unit:
Li: 0.052 0.000 0.333 (multiplicity 4)
Li: 0.225 0.500 0.325 (multiplicity 4)
Zn: 0.000 0.500 0.000 (multiplicity 2)
Zn: 0.109 0.500 0.665 (multiplicity 4)
Ag: 0.160 0.000 0.003 (multiplicity 4)


A relaxed structure of TbMg4Ag5, computed with PBE.

Formation energy from the elements ... -2.4 eV/f.u.
Size of the total moment ... 0.0000 μB per atom
Crystal system ... tetragonal

a = 3.415 Å, b = 3.415 Å, c = 16.892 Å
α = 90.00°, β = 90.00°, γ = 90.00°
Space group P4/mmm (No. 123)
Asymmetric unit:
Tb: 0.000 0.000 0.000 (multiplicity 1)
Mg: 0.000 0.000 0.213 (multiplicity 2)
Mg: 0.000 0.000 0.405 (multiplicity 2)
Ag: 0.500 0.500 0.120 (multiplicity 2)
Ag: 0.500 0.500 0.310 (multiplicity 2)
Ag: 0.500 0.500 0.500 (multiplicity 1)


A relaxed structure of Nd2DyPt9, computed with PBE.

Formation energy from the elements ... -10.8 eV/f.u.
Size of the total moment ... 0.0000 μB per atom
Crystal system ... trigonal

a = 5.4454 Å, b = 5.4454 Å, c = 26.8325 Å
α = 90.00°, β = 90.00°, γ = 120.00°
Space group R-3m (No. 166, hexagonal axes)
Asymmetric unit:
Nd: 0.0000 0.0000 0.1387 (multiplicity 6)
Dy: 0.0000 0.0000 0.0000 (multiplicity 3)
Pt: 0.0000 0.0000 0.3331 (multiplicity 6)
Pt: 0.0000 0.0000 0.5000 (multiplicity 3)
Pt: 0.0035 0.5018 0.9160 (multiplicity 18)


A relaxed structure of KFePbS2, computed with PBE.

ΔE_f (raw) ... 1.116 eV per atom
Size of the total moment ... 0.6745 μB per atom
Crystal system ... tetragonal

a = 5.523 Å, b = 5.523 Å, c = 4.594 Å
α = 90.00°, β = 90.00°, γ = 90.00°
Space group P4/mmm (No. 123)
Asymmetric unit:
K: 0.000 0.000 0.000 (multiplicity 1)
Fe: 0.000 0.000 0.500 (multiplicity 1)
Pb: 0.500 0.500 0.500 (multiplicity 1)
S: 0.000 0.500 0.000 (multiplicity 2)